The following is a PBE calculation of YFe2Os2 after structural relaxation, from the Alexandria database.

Output
Distance to the lowest polymorph of the same formula, eV/atom: 0.140
ΔH_f (0 K), kJ/mol of atoms: 18
V, Å³/atom: 14.8

Cell: 7.398 7.398 2.699 Å, 90.00 90.00 90.00°
Space group P4/mbm (No. 127)
Unique sites:
Y1 0.000 0.000 0.000 [2 per cell]
Fe1 0.117 0.383 0.000 [4 per cell]
Os1 0.172 0.672 0.500 [4 per cell]